No. 1
MgCo2Hg | PBE-GGA | optimized geometry

Cell: 4.8549 4.8549 4.8549 Å, 133.25 133.11 68.37°
Last column: nearest neighbours and their distance in Å.
Element x y z (fractional)
Mg 0.0000 0.0000 0.0000  4 Hg 2.73, 8 Co 2.78-2.79
Co 0.2499 0.7499 0.5000  4 Co 2.73, 4 Mg 2.78-2.79, 4 Hg 2.78-2.79
Co 0.7501 0.2501 0.5000  4 Co 2.73, 4 Mg 2.78-2.79, 4 Hg 2.78-2.79
Hg 0.5000 0.5000 0.0000  4 Mg 2.73, 8 Co 2.78-2.79

Summary:
Energy of formation from the pure elements (meV/atom): 276
Mass density (g/cm³): 9.52

No. 2
MgCo2Hg | PBE-GGA | optimized geometry

Cell: 4.3996 4.3996 4.3996 Å, 60.00 60.00 60.00°
Last column: nearest neighbours and their distance in Å.
Element x y z (fractional)
Mg 0.0000 0.0000 0.0000  4 Hg 2.69, 4 Co 2.69
Co 0.5000 0.5000 0.5000  4 Hg 2.69, 4 Co 2.69
Co 0.7500 0.7500 0.7500  4 Co 2.69, 4 Mg 2.69
Hg 0.2500 0.2500 0.2500  4 Co 2.69, 4 Mg 2.69

Summary:
Energy of formation from the pure elements (meV/atom): 270
Mass density (g/cm³): 9.45

No. 3
Mg2Co2Hg | PBE-GGA | optimized geometry

Cell: 6.4956 6.4956 3.9190 Å, 90.00 90.00 90.00°
Last column: nearest neighbours and their distance in Å.
Element x y z (fractional)
Mg 0.1694 0.3306 0.0000  6 Co 2.73-2.75
Mg 0.3306 0.8306 0.0000  6 Co 2.73-2.75
Mg 0.6694 0.1694 0.0000  6 Co 2.73-2.75
Mg 0.8306 0.6694 0.0000  6 Co 2.73-2.75
Co 0.1201 0.6201 0.5000  1 Co 2.21
Co 0.3799 0.1201 0.5000  1 Co 2.21
Co 0.6201 0.8799 0.5000  1 Co 2.21
Co 0.8799 0.3799 0.5000  1 Co 2.21
Hg 0.0000 0.0000 0.5000  4 Co 2.59
Hg 0.5000 0.5000 0.5000  4 Co 2.59

Summary:
Energy of formation from the pure elements (meV/atom): 113
Mass density (g/cm³): 7.37

No. 4
MgCo2Hg | PBE-GGA | optimized geometry

Cell: 3.8682 3.8682 3.9744 Å, 90.00 90.00 90.00°
Last column: nearest neighbours and their distance in Å.
Element x y z (fractional)
Mg 0.0000 0.0000 0.0000  4 Hg 2.74, 8 Co 2.77
Co 0.0000 0.5000 0.5000  4 Co 2.74, 4 Hg 2.77, 4 Mg 2.77
Co 0.5000 0.0000 0.5000  4 Co 2.74, 4 Hg 2.77, 4 Mg 2.77
Hg 0.5000 0.5000 0.0000  4 Mg 2.74, 8 Co 2.77

Summary:
Energy of formation from the pure elements (meV/atom): 260
Mass density (g/cm³): 9.57

No. 5
MgCo2Hg | PBE-GGA | optimized geometry

Cell: 4.7207 4.7207 4.7207 Å, 130.38 130.38 72.79°
Last column: nearest neighbours and their distance in Å.
Element x y z (fractional)
Mg 0.0000 0.0000 0.0000  8 Co 2.74-2.80, 4 Hg 2.74
Co 0.2500 0.7500 0.5000  4 Co 2.74, 4 Mg 2.74, 4 Hg 2.80
Co 0.5000 0.5000 0.0000  4 Hg 2.74, 4 Co 2.74, 4 Mg 2.80
Hg 0.7500 0.2500 0.5000  8 Co 2.74-2.80, 4 Mg 2.74

Summary:
Energy of formation from the pure elements (meV/atom): 256
Mass density (g/cm³): 9.55

No. 6
MgCo4Hg | PBE-GGA | optimized geometry

Cell: 4.8870 4.8870 4.8870 Å, 60.00 60.00 60.00°
Last column: nearest neighbours and their distance in Å.
Element x y z (fractional)
Mg 0.0000 0.0000 0.0000  12 Co 2.86, 4 Hg 2.99
Co 0.1238 0.6254 0.6254  6 Co 2.44-2.45
Co 0.6254 0.1238 0.6254  6 Co 2.44-2.45
Co 0.6254 0.6254 0.1238  6 Co 2.44-2.45
Co 0.6254 0.6254 0.6254  6 Co 2.44-2.45
Hg 0.2500 0.2500 0.2500  12 Co 2.87, 4 Mg 2.99

Summary:
Energy of formation from the pure elements (meV/atom): 135
Mass density (g/cm³): 9.27

No. 7
MgCo2Hg | PBE-GGA | optimized geometry

Cell: 5.0351 5.0351 4.3675 Å, 115.15 115.15 38.58°
Last column: nearest neighbours and their distance in Å.
Element x y z (fractional)
Mg 0.0000 0.0000 0.0000  8 Co 2.76-2.93, 4 Hg 2.87-2.91
Co 0.2275 0.2275 0.7279  2 Co 2.31
Co 0.5379 0.5379 0.5387  2 Co 2.31
Hg 0.7760 0.7760 0.2765  8 Co 2.77-2.99, 4 Mg 2.87-2.91

Summary:
Energy of formation from the pure elements (meV/atom): 210
Mass density (g/cm³): 9.23

No. 8
Mg2CoHgN | PBE-GGA | optimized geometry

Cell: 5.0784 5.0784 3.4493 Å, 90.00 90.00 90.00°
Last column: nearest neighbours and their distance in Å.
Element x y z (fractional)
Mg 0.0000 0.5000 0.0000  2 Co 2.54
Mg 0.5000 0.0000 0.0000  2 Co 2.54
Co 0.0000 0.0000 0.0000  2 N 1.72
Hg 0.5000 0.5000 0.5000  8 Mg 3.07
N 0.0000 0.0000 0.5000  2 Co 1.72

Summary:
Mass density (g/cm³): 6.01
Formation energy from raw total energies (eV/atom): 0.08
ΔE to the lowest computed polymorph (meV per atom): 335

No. 9
Mg2CoHgN | PBE-GGA | optimized geometry

Cell: 4.5013 4.5013 3.6299 Å, 90.00 90.00 90.00°
Last column: nearest neighbours and their distance in Å.
Element x y z (fractional)
Mg 0.0000 0.5000 0.0000  2 N 2.25
Mg 0.5000 0.0000 0.0000  2 N 2.25
Co 0.0000 0.0000 0.5000  2 N 1.81
Hg 0.5000 0.5000 0.5000  8 Mg 2.89, 4 Co 3.18
N 0.0000 0.0000 0.0000  2 Co 1.81

Summary:
Mass density (g/cm³): 7.27
Formation energy from raw total energies (eV/atom): -0.25
ΔE to the lowest computed polymorph (meV per atom): 0

No. 10
MgCo2HgPb | PBE-GGA | optimized geometry

Cell: 4.6867 4.6867 5.0252 Å, 90.00 90.00 90.00°
Last column: nearest neighbours and their distance in Å.
Element x y z (fractional)
Mg 0.0000 0.0000 0.0000  4 Co 2.34, 2 Hg 2.51
Co 0.0000 0.5000 0.0000  2 Mg 2.34
Co 0.5000 0.0000 0.0000  2 Mg 2.34
Hg 0.0000 0.0000 0.5000  2 Mg 2.51
Pb 0.5000 0.5000 0.5000  4 Hg 3.31, 8 Co 3.44

Summary:
Energy of formation from the pure elements (meV/atom): 1056
Mass density (g/cm³): 8.27

No. 11
MgScCoHg | PBE-GGA | optimized geometry

Cell: 4.6683 4.6683 4.6683 Å, 60.00 60.00 60.00°
Last column: nearest neighbours and their distance in Å.
Element x y z (fractional)
Mg 0.0000 0.0000 0.0000  4 Hg 2.86, 4 Co 2.86
Sc 0.5000 0.5000 0.5000  4 Hg 2.86, 4 Co 2.86
Co 0.2500 0.2500 0.2500  4 Mg 2.86, 4 Sc 2.86
Hg 0.7500 0.7500 0.7500  4 Mg 2.86, 4 Sc 2.86

Summary:
Energy of formation from the pure elements (meV/atom): -132
Mass density (g/cm³): 7.59

No. 12
MgCoSiHg2 | PBE-GGA | optimized geometry

Cell: 5.1041 5.1041 4.6757 Å, 90.00 90.00 90.00°
Last column: nearest neighbours and their distance in Å.
Element x y z (fractional)
Mg 0.0000 0.0000 0.0000  2 Co 2.34, 4 Hg 2.55
Co 0.0000 0.0000 0.5000  2 Mg 2.34
Si 0.5000 0.5000 0.5000  8 Hg 3.46, 4 Co 3.61
Hg 0.0000 0.5000 0.0000  2 Mg 2.55
Hg 0.5000 0.0000 0.0000  2 Mg 2.55

Summary:
Mass density (g/cm³): 6.99
Formation energy from raw total energies (eV/atom): 1.13

No. 13
SmMgCoHg | PBE-GGA | optimized geometry

Cell: 4.9276 4.9276 4.9276 Å, 60.00 60.00 60.00°
Last column: nearest neighbours and their distance in Å.
Element x y z (fractional)
Sm 0.0000 0.0000 0.0000  4 Hg 3.02, 4 Co 3.02
Mg 0.5000 0.5000 0.5000  4 Hg 3.02, 4 Co 3.02
Co 0.2500 0.2500 0.2500  4 Mg 3.02, 4 Sm 3.02
Hg 0.7500 0.7500 0.7500  4 Mg 3.02, 4 Sm 3.02

Summary:
Energy of formation from the pure elements (meV/atom): -62
Mass density (g/cm³): 8.52

No. 14
MgCoSn2Hg | PBE-GGA | optimized geometry

Cell: 4.8623 4.8623 5.0264 Å, 90.00 90.00 90.00°
Last column: nearest neighbours and their distance in Å.
Element x y z (fractional)
Mg 0.0000 0.0000 0.0000  2 Co 2.51
Co 0.0000 0.0000 0.5000  4 Sn 2.43, 2 Mg 2.51
Sn 0.0000 0.5000 0.5000  2 Co 2.43
Sn 0.5000 0.0000 0.5000  2 Co 2.43
Hg 0.5000 0.5000 0.0000  4 Mg 3.44, 8 Sn 3.50

Summary:
Energy of formation from the pure elements (meV/atom): -27
Mass density (g/cm³): 7.28

No. 15
SrMg2CoHg | PBE-GGA | optimized geometry

Cell: 4.8811 4.8811 5.1662 Å, 90.00 90.00 90.00°
Last column: nearest neighbours and their distance in Å.
Element x y z (fractional)
Sr 0.0000 0.0000 0.0000  4 Hg 3.45, 8 Mg 3.55
Mg 0.0000 0.5000 0.5000  2 Co 2.44
Mg 0.5000 0.0000 0.5000  2 Co 2.44
Co 0.5000 0.5000 0.5000  4 Mg 2.44, 2 Hg 2.58
Hg 0.5000 0.5000 0.0000  2 Co 2.58

Summary:
Energy of formation from the pure elements (meV/atom): -20
Mass density (g/cm³): 5.34

No. 16
MgTaCo2Hg | PBE-GGA | optimized geometry

Cell: 4.4840 4.4840 5.3706 Å, 90.00 90.00 90.00°
Last column: nearest neighbours and their distance in Å.
Element x y z (fractional)
Mg 0.0000 0.0000 0.0000  4 Hg 3.17, 8 Co 3.50
Ta 0.5000 0.5000 0.5000  4 Co 2.24
Co 0.0000 0.5000 0.5000  2 Ta 2.24
Co 0.5000 0.0000 0.5000  2 Ta 2.24
Hg 0.5000 0.5000 0.0000  2 Ta 2.69

Summary:
Energy of formation from the pure elements (meV/atom): 1070
Mass density (g/cm³): 8.05

No. 17
TbMgCoHg | PBE-GGA | optimized geometry

Cell: 4.8690 4.8690 4.8690 Å, 60.00 60.00 60.00°
Last column: nearest neighbours and their distance in Å.
Element x y z (fractional)
Tb 0.0000 0.0000 0.0000  4 Co 2.98, 4 Hg 2.98
Mg 0.5000 0.5000 0.5000  4 Hg 2.98, 4 Co 2.98
Co 0.2500 0.2500 0.2500  4 Mg 2.98, 4 Tb 2.98
Hg 0.7500 0.7500 0.7500  4 Tb 2.98, 4 Mg 2.98

Summary:
Energy of formation from the pure elements (meV/atom): -92
Mass density (g/cm³): 9.01

No. 18
MgCo2HgTe | PBE-GGA | optimized geometry

Cell: 4.6744 4.6744 5.7441 Å, 90.00 90.00 90.00°
Last column: nearest neighbours and their distance in Å.
Element x y z (fractional)
Mg 0.0000 0.0000 0.0000  4 Hg 3.31
Co 0.0000 0.5000 0.5000  2 Te 2.34
Co 0.5000 0.0000 0.5000  2 Te 2.34
Hg 0.5000 0.5000 0.0000  2 Te 2.87
Te 0.5000 0.5000 0.5000  4 Co 2.34

Summary:
Mass density (g/cm³): 6.22
Formation energy from raw total energies (eV/atom): 0.83

No. 19
TmMgCoHg | PBE-GGA | optimized geometry

Cell: 4.8078 4.8078 4.8078 Å, 60.00 60.00 60.00°
Last column: nearest neighbours and their distance in Å.
Element x y z (fractional)
Tm 0.0000 0.0000 0.0000  4 Hg 2.94, 4 Co 2.94
Mg 0.5000 0.5000 0.5000  4 Co 2.94, 4 Hg 2.94
Co 0.7500 0.7500 0.7500  4 Mg 2.94, 4 Tm 2.94
Hg 0.2500 0.2500 0.2500  4 Mg 2.94, 4 Tm 2.94

Summary:
Energy of formation from the pure elements (meV/atom): -110
Mass density (g/cm³): 9.57

No. 20
MnCoHg | PBE-GGA | optimized geometry

Cell: 5.2073 5.2073 5.2073 Å, 145.59 145.59 49.46°
Last column: nearest neighbours and their distance in Å.
Element x y z (fractional)
Mn 0.0000 0.0000 0.0000  4 Co 2.47
Co 0.3764 0.3764 0.0000  4 Mn 2.47
Hg 0.6926 0.6926 0.0000  5 Co 2.79-2.99, 5 Mn 2.84-2.91, 4 Hg 3.08

Summary:
Energy of formation from the pure elements (meV/atom): 258
Mass density (g/cm³): 11.63
ΔE to the lowest computed polymorph (meV per atom): 64

No. 21
MnCo3Hg | PBE-GGA | optimized geometry

Cell: 4.6871 4.6871 4.6871 Å, 90.00 90.00 90.00°
Last column: nearest neighbours and their distance in Å.
Element x y z (fractional)
Mn 0.0000 0.0000 0.0000  12 Co 3.31
Co 0.0000 0.5000 0.5000  2 Hg 2.34
Co 0.5000 0.0000 0.5000  2 Hg 2.34
Co 0.5000 0.5000 0.0000  2 Hg 2.34
Hg 0.5000 0.5000 0.5000  6 Co 2.34

Summary:
Energy of formation from the pure elements (meV/atom): 2272
Mass density (g/cm³): 6.97
ΔE to the lowest computed polymorph (meV per atom): 1159

No. 22
MnCo2Hg | PBE-GGA | optimized geometry

Cell: 3.0016 3.0016 6.3303 Å, 90.00 90.00 90.00°
Last column: nearest neighbours and their distance in Å.
Element x y z (fractional)
Mn 0.0000 0.0000 0.0000  5 Co 2.53-2.56
Co 0.0000 0.0000 0.4052  4 Co 2.43, 1 Mn 2.56
Co 0.5000 0.5000 0.2179  4 Co 2.43, 4 Mn 2.53
Hg 0.5000 0.5000 0.6936  5 Co 2.80-3.01, 4 Mn 2.88, 4 Hg 3.00

Summary:
Energy of formation from the pure elements (meV/atom): 241
Mass density (g/cm³): 10.87

No. 23
MnCoHg2 | PBE-GGA | optimized geometry

Cell: 9.0137 9.0137 9.0137 Å, 19.32 19.32 19.32°
Last column: nearest neighbours and their distance in Å.
Element x y z (fractional)
Mn 0.0000 0.0000 0.0000  6 Hg 2.88, 6 Mn 3.03
Co 0.5000 0.5000 0.5000  6 Hg 2.76, 6 Co 3.03
Hg 0.2471 0.2471 0.2471  3 Co 2.76, 3 Mn 2.88, 6 Hg 3.03
Hg 0.7529 0.7529 0.7529  3 Co 2.76, 3 Mn 2.88, 6 Hg 3.03

Summary:
Energy of formation from the pure elements (meV/atom): 497
Mass density (g/cm³): 12.20
ΔE to the lowest computed polymorph (meV per atom): 226

No. 24
MnCo2Hg | PBE-GGA | optimized geometry

Cell: 4.6797 4.6797 4.6797 Å, 131.72 131.72 70.68°
Last column: nearest neighbours and their distance in Å.
Element x y z (fractional)
Mn 0.0000 0.0000 0.0000  4 Hg 2.70, 8 Co 2.70-2.71
Co 0.2500 0.7500 0.5000  4 Mn 2.70, 4 Co 2.70, 4 Hg 2.71
Co 0.5000 0.5000 0.0000  4 Hg 2.70, 4 Co 2.70, 4 Mn 2.71
Hg 0.7500 0.2500 0.5000  4 Mn 2.70, 8 Co 2.70-2.71

Summary:
Energy of formation from the pure elements (meV/atom): 318
Mass density (g/cm³): 11.08

No. 25
MnCo2Hg | PBE-GGA | optimized geometry

Cell: 4.6128 4.6128 4.6128 Å, 130.40 130.40 72.77°
Last column: nearest neighbours and their distance in Å.
Element x y z (fractional)
Mn 0.0000 0.0000 0.0000  8 Co 2.68, 4 Hg 2.74
Co 0.2500 0.7500 0.5000  4 Hg 2.68, 4 Mn 2.68, 4 Co 2.74
Co 0.7500 0.2500 0.5000  4 Hg 2.68, 4 Mn 2.68, 4 Co 2.74
Hg 0.5000 0.5000 0.0000  8 Co 2.68, 4 Mn 2.74

Summary:
Energy of formation from the pure elements (meV/atom): 372
Mass density (g/cm³): 11.15

No. 26
MnCoHg | PBE-GGA | optimized geometry

Cell: 5.0558 5.0558 6.6274 Å, 107.32 107.32 35.26°
Last column: nearest neighbours and their distance in Å.
Element x y z (fractional)
Mn 0.0000 0.0000 0.0000  3 Co 2.46-2.72, 2 Mn 2.66
Mn 0.6892 0.6892 0.2859  4 Co 2.47-2.62, 2 Mn 2.66, 2 Hg 2.76
Co 0.0397 0.0397 0.4244  2 Co 2.44, 3 Mn 2.47-2.72
Co 0.3748 0.3748 0.1764  2 Co 2.44, 4 Mn 2.46-2.62
Hg 0.3683 0.3683 0.6092  4 Mn 2.76-2.93, 4 Co 2.80-3.02, 5 Hg 2.98-3.06
Hg 0.6883 0.6883 0.8385  4 Mn 2.83-2.96, 4 Co 2.84-3.08, 5 Hg 2.98-3.06

Summary:
Energy of formation from the pure elements (meV/atom): 317
Mass density (g/cm³): 11.24
ΔE to the lowest computed polymorph (meV per atom): 124

No. 27
MnCoHg2 | PBE-GGA | optimized geometry

Cell: 3.2202 3.5533 5.9473 Å, 90.00 90.00 90.00°
Last column: nearest neighbours and their distance in Å.
Element x y z (fractional)
Mn 0.0000 0.0000 0.0000  8 Hg 2.84, 2 Co 2.97
Co 0.0000 0.0000 0.5000  8 Hg 2.80, 2 Mn 2.97
Hg 0.5000 0.5000 0.2570  4 Co 2.80, 4 Mn 2.84, 2 Hg 2.89-3.06
Hg 0.5000 0.5000 0.7430  4 Co 2.80, 4 Mn 2.84, 2 Hg 2.89-3.06

Summary:
Energy of formation from the pure elements (meV/atom): 404
Mass density (g/cm³): 12.57
ΔE to the lowest computed polymorph (meV per atom): 133

No. 28
MnCoHg | PBE-GGA | optimized geometry

Cell: 4.1939 4.1939 4.1939 Å, 60.00 60.00 60.00°
Last column: nearest neighbours and their distance in Å.
Element x y z (fractional)
Mn 0.0000 0.0000 0.0000  4 Co 2.57
Co 0.2500 0.2500 0.2500  4 Hg 2.57, 4 Mn 2.57
Hg 0.5000 0.5000 0.5000  4 Co 2.57

Summary:
Energy of formation from the pure elements (meV/atom): 584
Mass density (g/cm³): 10.01
ΔE to the lowest computed polymorph (meV per atom): 391

No. 29
MnCoHg | PBE-GGA | optimized geometry

Cell: 4.3518 7.6910 7.6910 Å, 21.60 90.00 90.00°
Last column: nearest neighbours and their distance in Å.
Element x y z (fractional)
Mn 0.0000 0.0000 0.0000  4 Mn 2.62-2.88, 2 Co 2.64, 4 Hg 2.79
Mn 0.0000 0.3553 0.3553  6 Co 2.51-2.70, 2 Mn 2.62
Co 0.5000 0.2730 0.2730  2 Co 2.41, 2 Mn 2.51
Co 0.5000 0.9009 0.9009  2 Co 2.41, 6 Mn 2.64-2.70
Hg 0.0000 0.6937 0.6937  2 Mn 2.84, 4 Co 2.87, 4 Hg 2.88-2.92
Hg 0.5000 0.5652 0.5652  4 Mn 2.79, 2 Co 2.87, 4 Hg 2.88-2.92

Summary:
Energy of formation from the pure elements (meV/atom): 379
Mass density (g/cm³): 11.02
ΔE to the lowest computed polymorph (meV per atom): 185

no.,total moment (μB per formula unit),D(E_F) (states/eV/f.u.)
1,2.63,7.095
2,3.21,4.250
3,0.71,4.313
4,2.49,5.996
5,2.78,4.536
6,6.21,6.041
7,3.02,3.501
8,0.00,2.764
9,0.00,2.779
10,2.86,6.812
11,0.96,3.173
12,1.55,4.916
13,1.24,3.749
14,0.00,2.292
15,0.00,2.020
16,0.00,4.744
17,1.21,3.599
18,2.49,4.530
19,1.13,3.265
20,4.47,2.577
21,5.07,11.248
22,6.80,2.428
23,5.06,4.918
24,6.59,4.070
25,6.18,6.718
26,5.07,2.659
27,5.30,2.419
28,4.22,1.375
29,5.09,2.491